A plane-wave DFT calculation with PBE was carried out for ZnAsRh2 after structural relaxation.

Properties
D(E_F), states/eV/f.u.: 3.3
Crystal system: tetragonal
Mass density, Mg/m³: 9.57
Calculated volume, Å³ per cell: 60.1
Formation energy, kcal/mol of atoms: -5.277
Space group: No. 99

abc: 3.391 3.391 5.225
angles: 90.00 90.00 90.00
Sites, in units of the cell vectors:
As1 0.500 0.500 0.788
Rh1 0.000 0.000 0.959
Rh2 0.500 0.500 0.293
Zn1 0.000 0.000 0.461